Arrangement 1

TbThSc after structural relaxation, computed with GGA-PBE.

abc: 14.7782 3.5348 7.0031
angles: 90.00 103.96 90.00
Space group C2/m (No. 12)
Symmetry-distinct sites (fractional):
Tb  0.1614  0.0000  0.0820 (multiplicity 4)
Th  0.1645  0.0000  0.5814 (multiplicity 4)
Sc  0.0012  0.5000  0.2619 (multiplicity 4)

Arrangement 2

TbThSc after structural relaxation, computed with GGA-PBE.

abc: 5.5371 9.5875 6.7147
angles: 90.00 90.00 90.00
Space group Pbam (No. 55)
Symmetry-distinct sites (fractional):
Tb  0.0077  0.1667  0.0000 (multiplicity 4)
Th  0.0012  0.8334  0.5000 (multiplicity 4)
Sc  0.0000  0.5000  0.2565 (multiplicity 4)

Least stable structure among those shown: arrangement 2.